The following is a DFT calculation (GGA-PBEsol) of a geometry-optimized FeOF structure.

Summary:
* crystal system: trigonal
* formation energy from raw total energies: -1644 meV/atom

a = 5.0384 Å, b = 5.0384 Å, c = 13.7446 Å
α = 90.00°, β = 90.00°, γ = 120.00°
Space group R3 (No. 146, hexagonal axes)
Symmetry-distinct sites (fractional):
Fe1 0.0000 0.0000 0.0000 (multiplicity 3)
Fe2 0.0000 0.0000 0.2210 (multiplicity 3)
Fe3 0.0000 0.0000 0.6835 (multiplicity 3)
O1 0.0050 0.3489 0.9479 (multiplicity 9)
F1 0.0753 0.7237 0.7751 (multiplicity 9)